5
Lattice="5.2522 0.0000 0.0000 0.0000 5.2522 0.0000 0.0000 0.0000 4.9716" Properties=species:S:1:pos:R:3 comment="MgScAsSe2, optimized geometry, DFT PBE" de_polymorph_mev_per_atom=357 e_form_raw_ev_per_atom=0.02 magmom_total_mub_per_fu=0.00 pbc="T T T"
Mg 0.0000 0.0000 0.0000
Sc 2.6261 2.6261 0.0000
As 2.6261 2.6261 2.4858
Se 0.0000 2.6261 2.4858
Se 2.6261 0.0000 2.4858